Density functional theory data (PBE) for a relaxed structure of Y2Si4Pt3Au.

V (Å³/atom): 17.74
Formation energy from raw total energies (kJ/mol of atoms): -94.7
Symmetry: P-4m2 (115)
DOS at the Fermi energy (states/eV/cell): 4.0

Lattice parameters (Å, degrees): 4.2313 4.2313 9.9078 90.00 90.00 90.00
With the nearest neighbours (Å) after each atom.
Sites, in units of the cell vectors:
1 Y 0.5000 0.0000 0.2455  8 Si 3.20-3.22, 6 Pt 3.24-3.29, 2 Au 3.29
2 Y 0.0000 0.5000 0.7545  8 Si 3.20-3.22, 6 Pt 3.24-3.29, 2 Au 3.29
3 Si 0.5000 0.5000 0.0000  4 Pt 2.43
4 Si 0.0000 0.0000 0.0000  4 Pt 2.43
5 Si 0.5000 0.0000 0.6398  3 Pt 2.38-2.53, 2 Au 2.53
6 Si 0.0000 0.5000 0.3602  3 Pt 2.38-2.53, 2 Au 2.53
7 Pt 0.0000 0.0000 0.5000  4 Si 2.53
8 Pt 0.5000 0.0000 0.8798  5 Si 2.38-2.43
9 Pt 0.0000 0.5000 0.1202  5 Si 2.38-2.43
10 Au 0.5000 0.5000 0.5000  4 Si 2.53

Density functional theory data (PBE) for a relaxed structure of CaMnZn.

V (Å³/atom): 22.50
Formation enthalpy at 0 K (kJ per mole of atoms): 41.0
Symmetry: P3m1 (156)
DOS at the Fermi energy (states/eV/cell): 3.2

Lattice parameters (Å, degrees): 3.3944 3.3944 6.7652 90.00 90.00 120.00
With the nearest neighbours (Å) after each atom.
Sites, in units of the cell vectors:
1 Zn 0.3333 0.6667 0.6347  3 Mn 2.64
2 Mn 0.6667 0.3333 0.3734  3 Zn 2.64
3 Ca 0.0000 0.0000 0.9918  3 Zn 3.11, 3 Mn 3.24, 6 Ca 3.39

Density functional theory data (PBE) for a relaxed structure of Cs2LiTeS4.

V (Å³/atom): 35.40
Formation energy from raw total energies (kJ/mol of atoms): -65.2
Symmetry: Fddd (70)
DOS at the Fermi energy (states/eV/cell): 4.1

Lattice parameters (Å, degrees): 6.1548 7.9146 12.9892 84.71 76.30 67.12
With the nearest neighbours (Å) after each atom.
Sites, in units of the cell vectors:
1 Cs 0.1774 0.0000 0.6452  8 S 3.80-3.86
2 Cs 0.8226 0.0000 0.3548  8 S 3.80-3.86
3 Cs 0.5726 0.5000 0.8548  8 S 3.80-3.86
4 Cs 0.9274 0.5000 0.1452  8 S 3.80-3.86
5 Li 0.7500 0.5000 0.5000  4 S 2.48
6 Li 0.0000 0.0000 0.0000  4 S 2.48
7 Te 0.2500 0.5000 0.5000  4 S 2.44
8 Te 0.5000 0.0000 0.0000  4 S 2.44
9 S 0.3036 0.8036 0.1009  1 Te 2.44, 1 Li 2.48
10 S 0.2081 0.1964 0.8991  1 Te 2.44, 1 Li 2.48
11 S 0.8929 0.8036 0.8991  1 Te 2.44, 1 Li 2.48
12 S 0.5955 0.1964 0.1009  1 Te 2.44, 1 Li 2.48
13 S 0.4464 0.6964 0.3991  1 Te 2.44, 1 Li 2.48
14 S 0.5419 0.3036 0.6009  1 Te 2.44, 1 Li 2.48
15 S 0.8571 0.6964 0.6009  1 Te 2.44, 1 Li 2.48
16 S 0.1545 0.3036 0.3991  1 Te 2.44, 1 Li 2.48

Density functional theory data (PBE) for a relaxed structure of PmH7Pd2.

V (Å³/atom): 8.77
Raw total energy (eV/atom): -4.0294
Symmetry: Cmmm (65)
DOS at the Fermi energy (states/eV/cell): 1.8

Lattice parameters (Å, degrees): 3.5871 5.5297 5.5297 126.92 90.00 90.00
With the nearest neighbours (Å) after each atom.
Sites, in units of the cell vectors:
1 Pm 0.0000 0.0000 0.0000  8 H 2.38
2 H 0.0000 0.6590 0.3410  2 Pd 1.80
3 H 0.0000 0.3410 0.6590  2 Pd 1.80
4 H 0.5000 0.0190 0.2946  1 H 1.55, 1 Pd 1.74
5 H 0.5000 0.9810 0.7054  1 H 1.55, 1 Pd 1.74
6 H 0.5000 0.2946 0.0190  1 H 1.55, 1 Pd 1.74
7 H 0.5000 0.7054 0.9810  1 H 1.55, 1 Pd 1.74
8 H 0.5000 0.5000 0.5000  2 Pd 1.73
9 Pd 0.5000 0.6748 0.3252  5 H 1.73-1.80
10 Pd 0.5000 0.3252 0.6748  5 H 1.73-1.80

Number 2 is which compound?
CaMnZn